# LaP2Os, relaxed, DFT GGA-PBE
data_LaP2Os
_chemical_formula_sum 'La4 P8 Os4'
_symmetry_space_group_name_H-M 'I -4 2 d'
_symmetry_Int_Tables_number 122
_symmetry_space_group_name_Hall 'I -4 2bw'
_cell_length_a 5.3441
_cell_length_b 5.3441
_cell_length_c 13.3466
_cell_angle_alpha 90.00
_cell_angle_beta 90.00
_cell_angle_gamma 90.00
loop_
_atom_site_label
_atom_site_type_symbol
_atom_site_fract_x
_atom_site_fract_y
_atom_site_fract_z
La1 La 0.0000 0.0000 0.0000
P1 P 0.1394 0.2500 0.6250
Os1 Os 0.0000 0.0000 0.5000
# **Crystal system**: tetragonal
# **Calculated density**: 6.8 g/cm³
# **Formation energy from the elements**: -0.4937 eV/atom
# **V**: 381 Å³/cell
# **Excess energy over the best structure of this formula in the dataset**: 0.383 eV/atom
# **E**: -7.24 eV/atom